Entry 1:
The following is a DFT calculation (PBE) of a geometry-optimized Tb2Zn3Hg2 structure. Values from VASP.

Calculated values
The density of states at the Fermi level comes out at 4.58 states/eV/f.u. The raw total energy comes out at -2.10 eV/atom. The magnetization is 0.0 μB/f.u. Its formation enthalpy at 0 K is -0.143 eV per atom. As for the relative energy among the computed polymorphs: 209.5 meV per atom.

Cell and atoms, written as Quantum ESPRESSO input:
```
&SYSTEM
  ibrav = 0, nat = 14, ntyp = 3
/
ATOMIC_SPECIES
Tb 158.93 Tb.upf
Zn 65.41 Zn.upf
Hg 200.59 Hg.upf
CELL_PARAMETERS angstrom
4.6121 0.0000 0.0000
0.0000 20.7920 0.0000
0.0000 0.0000 3.2665
ATOMIC_POSITIONS angstrom
Tb 0.0000 3.0225 0.0000
Tb 0.0000 17.7695 0.0000
Tb 2.3061 7.3735 0.0000
Tb 2.3061 13.4185 0.0000
Zn 0.0000 0.0000 0.0000
Zn 0.0000 9.0773 1.6333
Zn 0.0000 11.7147 1.6333
Zn 2.3061 1.3187 1.6333
Zn 2.3061 10.3960 0.0000
Zn 2.3061 19.4734 1.6333
Hg 0.0000 6.0647 1.6333
Hg 0.0000 14.7273 1.6333
Hg 2.3061 4.3313 1.6333
Hg 2.3061 16.4607 1.6333
```

Entry 2:
The following is a DFT calculation (PBE) of a geometry-optimized PaTcO5 structure. Values from VASP.

Calculated values
The density of states at the Fermi level comes out at 2.55 states/eV/f.u. The raw total energy comes out at -8.80 eV/atom. The magnetization is 2.0 μB/f.u.

Cell and atoms, written as Quantum ESPRESSO input:
```
&SYSTEM
  ibrav = 0, nat = 14, ntyp = 3
/
ATOMIC_SPECIES
Pa 231.04 Pa.upf
Tc 98.00 Tc.upf
O 16.00 O.upf
CELL_PARAMETERS angstrom
4.4168 -3.2470 0.0000
4.4168 3.2470 0.0000
-3.2053 0.0000 6.8381
ATOMIC_POSITIONS angstrom
Pa 2.0129 2.9636 5.1286
Pa 3.6155 -2.9636 1.7095
Tc 4.4168 0.0000 0.0000
Tc 2.8142 0.0000 3.4190
O 4.2077 1.9524 0.2257
O 3.0234 1.9524 3.1933
O 1.0709 0.1500 2.5695
O -0.5318 -0.1500 5.9886
O 2.0129 0.5215 5.1286
O 3.6155 -0.5215 1.7095
O 6.1602 0.1500 0.8495
O 4.5575 -0.1500 4.2686
O 2.6050 -1.9524 3.6447
O 1.4207 -1.9524 6.6124
```

Entry 3:
The following is a DFT calculation (PBE) of a geometry-optimized TbHo6Th2 structure. Values from VASP.

Calculated values
The density of states at the Fermi level comes out at 12.53 states/eV/f.u. The raw total energy comes out at -5.03 eV/atom. The magnetization is 0.0 μB/f.u. Its formation enthalpy at 0 K is 0.184 eV per atom. As for the relative energy among the computed polymorphs: 112.1 meV per atom.

Cell and atoms, written as Quantum ESPRESSO input:
```
&SYSTEM
  ibrav = 0, nat = 18, ntyp = 3
/
ATOMIC_SPECIES
Tb 158.93 Tb.upf
Ho 164.93 Ho.upf
Th 232.04 Th.upf
CELL_PARAMETERS angstrom
7.0429 -6.3434 0.0000
7.0429 6.3434 0.0000
-1.8147 0.0000 6.4609
ATOMIC_POSITIONS angstrom
Tb 5.6819 4.6048 4.8456
Tb 6.5892 -4.6048 1.6152
Ho 2.8180 2.6887 1.5912
Ho 0.2015 1.1590 5.0768
Ho 1.1088 -1.1590 1.8464
Ho 6.1378 1.8760 3.1354
Ho 7.0406 1.8760 0.0950
Ho 1.9107 -2.6887 4.8216
Ho 10.3604 2.6887 1.6392
Ho 5.2305 -1.8760 6.3659
Ho 6.1333 -1.8760 3.3254
Ho 11.1623 1.1590 4.6145
Ho 12.0696 -1.1590 1.3841
Ho 9.4530 -2.6887 4.8696
Th 3.3915 0.2841 4.0644
Th 4.2988 -0.2841 0.8340
Th 7.9723 0.2841 5.6269
Th 8.8796 -0.2841 2.3964
```